Record 1
# HPdRu3

Crystalline HPdRu3 at its relaxed geometry (PBE-GGA, Alexandria via LeMat-Bulk).

Cell lengths 4.8164, 4.8164, 4.8164 Å; angles 90.00, 90.00, 90.00 degrees
Space group Pm-3m (No. 221)
Symmetry-distinct sites (fractional):
H1 0.0000 0.0000 0.0000
Pd1 0.5000 0.5000 0.5000
Ru1 0.0000 0.5000 0.5000

The calculated volume is 111.7 Å³/cell. The value obtained for the density is 6.10 g cm⁻³. Its total energy is -23.52 eV per formula unit.

Record 2
# BaAg2P2

Crystalline BaAg2P2 at its relaxed geometry (PBE-GGA, Alexandria via LeMat-Bulk).

Cell lengths 4.7813, 4.7813, 10.0194 Å; angles 90.00, 90.00, 90.00 degrees
Space group I4/mmm (No. 139)
Symmetry-distinct sites (fractional):
Ba1 0.0000 0.0000 0.0000
Ag1 0.0000 0.0000 0.3506
P1 0.0000 0.5000 0.2500

The formation energy is -242 meV/atom. The calculated volume is 229.1 Å³/cell. The value obtained for the density is 6.02 g cm⁻³.

Record 3
# CaCePrHo

Crystalline CaCePrHo at its relaxed geometry (PBE-GGA, Alexandria via LeMat-Bulk).

Cell lengths 8.2291, 8.2291, 8.2291 Å; angles 90.00, 90.00, 90.00 degrees
Space group F-43m (No. 216)
Symmetry-distinct sites (fractional):
Ca1 0.0000 0.0000 0.0000
Ce1 0.0000 0.0000 0.5000
Pr1 0.2500 0.2500 0.2500
Ho1 0.2500 0.2500 0.7500

The formation energy is 240 meV/atom. The calculated volume is 557.3 Å³/cell. The value obtained for the density is 5.79 g cm⁻³.

Which value of calculated volume does entry 1 give? 111.7 Å³/cell